Material: Zr2TaSi
Method: DFT, GGA-PBE
State: optimized geometry

Cell lengths 5.175, 5.175, 5.104 Å; angles 77.58, 77.58, 35.39 degrees
Fractional coordinates of all 4 atoms:
Ta 0.230 0.230 0.271
Si 0.509 0.509 0.497
Zr 0.768 0.768 0.723
Zr 0.994 0.994 0.009

Properties
- Calculated total energy: -35.11 eV for the cell shown
- Space-group type: Cm
- Crystal system: monoclinic
- Formation energy without anion corrections: -0.1841 eV per atom
- Density of states at the Fermi level: 3.5 states/eV/f.u.
- Spin magnetization: 0.000 μB per cell
- Volume: 19.284 Å³ per atom